[1]
{"formula": "SmScCdPt", "functional": "GGA-PBE", "state": "optimized geometry", "spacegroup": "No. 216", "ef_ev_per_atom": -0.647, "lattice": [[5.021, 0.000, 0.000], [2.510, 4.348, 0.000], [2.510, 1.449, 4.100]], "species": ["Sc", "Sm", "Pt", "Cd"], "fractional_positions": [[0.500, 0.500, 0.500], [0.000, 0.000, 0.000], [0.750, 0.750, 0.750], [0.250, 0.250, 0.250]]}

=====

[2]
{"formula": "Pm8Zn2In", "functional": "GGA-PBE", "state": "optimized geometry", "spacegroup": "No. 12", "ef_ev_per_atom": -0.188, "lattice": [[-2.131, -4.572, -1.772], [3.678, 1.243, -7.629], [5.112, -1.875, 6.757]], "species": ["Pm", "Pm", "Pm", "Pm", "Pm", "Pm", "Pm", "Pm", "Zn", "Zn", "In"], "fractional_positions": [[0.601, 0.457, 0.202], [0.316, 0.039, 0.631], [0.146, 0.208, 0.291], [0.068, 0.723, 0.136], [0.854, 0.792, 0.709], [0.684, 0.961, 0.369], [0.399, 0.543, 0.798], [0.932, 0.277, 0.864], [0.223, 0.619, 0.445], [0.777, 0.381, 0.555], [0.500, 0.000, 0.000]]}

=====

[3]
{"formula": "MnBSCl2", "functional": "GGA-PBE", "state": "optimized geometry", "spacegroup": "No. 123", "e_above_lowest_polymorph_ev_per_atom": 0.3485, "lattice": [[5.802, 0.000, 0.000], [0.000, 3.270, 0.000], [0.000, 0.000, 5.802]], "species": ["S", "Mn", "B", "Cl", "Cl"], "fractional_positions": [[0.000, 0.000, 0.000], [0.500, 0.500, 0.500], [0.000, 0.500, 0.000], [0.000, 0.000, 0.500], [0.500, 0.000, 0.000]]}

=====

no.,size of the total moment (μB per atom)
1,0.00
2,0.00
3,0.94